[1]
# InAg2Pb

InAg2Pb at its PBEsol-relaxed geometry (meta-GGA SCAN, Alexandria).

```
InAg2Pb
1.0
3.280 0.000 0.000
0.000 3.280 0.000
0.000 0.000 8.061
Ag Pb In
2 1 1
direct
0.500 0.500 0.232 Ag
0.000 0.000 0.033 Ag
0.500 0.500 0.781 Pb
0.000 0.000 0.455 In
```

## Properties
- formation enthalpy at 0 K (eV/atom) = 0.088
- N(E_F) (states/eV/atom) = 0.373
- spin magnetization (Bohr magnetons per cell) = 0.00
- crystal system = tetragonal



[2]
# CuAg4

CuAg4 at its PBEsol-relaxed geometry (meta-GGA SCAN, Alexandria).

```
CuAg4
1.0
3.640 0.000 0.000
0.000 3.640 0.000
-1.820 -1.820 6.833
Ag Cu
4 1
direct
0.406 0.406 0.812 Ag
0.750 0.250 0.500 Ag
0.594 0.594 0.188 Ag
0.250 0.750 0.500 Ag
0.000 0.000 0.000 Cu
```

## Properties
- formation enthalpy at 0 K (eV/atom) = 0.427
- polymorph energy (0 for the lowest one) (eV per atom) = 0.351
- N(E_F) (states/eV/atom) = 0.290
- spin magnetization (Bohr magnetons per cell) = 0.00
- crystal system = tetragonal